1.
VASP calculation (PBE-GGA) on a relaxed Er4MgAl12 crystal.

CIF file:
```
data_Er4MgAl12
_chemical_formula_sum 'Er8 Mg2 Al24'
_space_group_name_H-M_alt 'I m -3 m'
_space_group_IT_number 229
_space_group_name_Hall '-I 4 2 3'
_cell_length_a 8.7553
_cell_length_b 8.7553
_cell_length_c 8.7553
_cell_angle_alpha 90.00
_cell_angle_beta 90.00
_cell_angle_gamma 90.00
loop_
_atom_site_label
_atom_site_type_symbol
_atom_site_fract_x
_atom_site_fract_y
_atom_site_fract_z
Er1 Er 0.2500 0.2500 0.2500
Mg1 Mg 0.0000 0.0000 0.0000
Al1 Al 0.0000 0.0000 0.3136
Al2 Al 0.0000 0.2500 0.5000
```


2.
VASP calculation (PBE-GGA) on a relaxed CdHgRu2 crystal.

CIF file:
```
data_CdHgRu2
_chemical_formula_sum 'Cd1 Hg1 Ru2'
_space_group_name_H-M_alt 'P m m m'
_space_group_IT_number 47
_space_group_name_Hall '-P 2 2'
_cell_length_a 2.9902
_cell_length_b 4.7849
_cell_length_c 4.8321
_cell_angle_alpha 90.00
_cell_angle_beta 90.00
_cell_angle_gamma 90.00
loop_
_atom_site_label
_atom_site_type_symbol
_atom_site_fract_x
_atom_site_fract_y
_atom_site_fract_z
Cd1 Cd 0.0000 0.0000 0.0000
Hg1 Hg 0.5000 0.0000 0.5000
Ru1 Ru 0.0000 0.5000 0.5000
Ru2 Ru 0.5000 0.5000 0.0000
```


3.
VASP calculation (PBE-GGA) on a relaxed TlIn5Ga2 crystal.

CIF file:
```
data_TlIn5Ga2
_chemical_formula_sum 'Tl2 In10 Ga4'
_space_group_name_H-M_alt 'I m m m'
_space_group_IT_number 71
_space_group_name_Hall '-I 2 2'
_cell_length_a 4.6456
_cell_length_b 9.0902
_cell_length_c 10.2065
_cell_angle_alpha 90.00
_cell_angle_beta 90.00
_cell_angle_gamma 90.00
loop_
_atom_site_label
_atom_site_type_symbol
_atom_site_fract_x
_atom_site_fract_y
_atom_site_fract_z
Tl1 Tl 0.0000 0.0000 0.0000
In1 In 0.0000 0.1889 0.3464
In2 In 0.0000 0.5000 0.0000
Ga1 Ga 0.0000 0.5000 0.2810
```


Number 1: formation enthalpy at 0 K -0.341 eV per atom. Number 2: formation enthalpy at 0 K 0.591 eV per atom. Number 3: formation enthalpy at 0 K 0.058 eV per atom.